Entry 1:
This record from the Alexandria database describes a relaxed structure of LaNdDySn. The functional is GGA-PBE.

Geometry as POSCAR:
```
LaNdDySn
1.0
7.885 0.000 0.000
0.000 7.885 0.000
0.000 0.000 7.885
La Nd Dy Sn
4 4 4 4
Direct
0.000 0.000 0.000
0.000 0.500 0.500
0.500 0.000 0.500
0.500 0.500 0.000
0.000 0.000 0.500
0.000 0.500 0.000
0.500 0.000 0.000
0.500 0.500 0.500
0.250 0.250 0.750
0.250 0.750 0.250
0.750 0.250 0.250
0.750 0.750 0.750
0.250 0.250 0.250
0.250 0.750 0.750
0.750 0.250 0.750
0.750 0.750 0.250
```

Computed properties:
ΔH_f (0 K) (eV per formula unit): -1.1
DOS(E_F) (states/eV/atom): 1.579


Entry 2:
This record from the Alexandria database describes a relaxed structure of SrLaNdDy. The functional is GGA-PBE.

Geometry as POSCAR:
```
SrLaNdDy
1.0
8.489 0.000 0.000
0.000 8.489 0.000
0.000 0.000 8.489
Sr La Nd Dy
4 4 4 4
Direct
0.000 0.000 0.000
0.000 0.500 0.500
0.500 0.000 0.500
0.500 0.500 0.000
0.250 0.250 0.750
0.250 0.750 0.250
0.750 0.250 0.250
0.750 0.750 0.750
0.250 0.250 0.250
0.250 0.750 0.750
0.750 0.250 0.750
0.750 0.750 0.250
0.000 0.000 0.500
0.000 0.500 0.000
0.500 0.000 0.000
0.500 0.500 0.500
```

Computed properties:
ΔH_f (0 K) (eV per formula unit): 0.8
DOS(E_F) (states/eV/atom): 1.691


Entry 3:
This record from the Alexandria database describes a relaxed structure of LaTbNdDy3. The functional is GGA-PBE.

Geometry as POSCAR:
```
LaTbNdDy3
1.0
10.015 -2.834 0.000
10.015 2.834 0.000
-0.043 0.000 7.069
La Tb Nd Dy
2 2 2 6
Direct
0.146 0.146 0.034
0.854 0.854 0.966
0.149 0.149 0.462
0.851 0.851 0.538
0.446 0.446 0.736
0.554 0.554 0.264
0.023 0.023 0.740
0.279 0.279 0.754
0.335 0.335 0.266
0.665 0.665 0.734
0.721 0.721 0.246
0.977 0.977 0.260
```

Computed properties:
ΔH_f (0 K) (eV per formula unit): 1.1
DOS(E_F) (states/eV/atom): 1.567


Entry 4:
This record from the Alexandria database describes a relaxed structure of LaTb3Nd6Dy2. The functional is GGA-PBE.

Geometry as POSCAR:
```
LaTb3Nd6Dy2
1.0
3.154 -5.462 0.000
3.154 5.462 0.000
-2.103 0.000 11.824
La Tb Nd Dy
1 3 6 2
Direct
0.000 0.000 0.000
0.167 0.833 0.500
0.500 0.500 0.500
0.833 0.167 0.500
0.084 0.419 0.252
0.250 0.250 0.748
0.419 0.084 0.252
0.581 0.916 0.748
0.750 0.750 0.252
0.916 0.581 0.748
0.334 0.666 0.000
0.666 0.334 0.000
```

Computed properties:
ΔH_f (0 K) (eV per formula unit): 0.2
DOS(E_F) (states/eV/atom): 1.351